[1]
# NbVSbMo

Crystalline NbVSbMo at its relaxed geometry (PBE, Alexandria via LeMat-Bulk).

POSCAR file:
```
NbVSbMo
1.0
4.5872 0.0000 0.0000
2.2936 3.9727 0.0000
2.2936 1.3242 3.7455
Nb Sb Mo V
1 1 1 1
direct
0.0000 0.0000 0.0000 Nb
0.5000 0.5000 0.5000 Sb
0.7500 0.7500 0.7500 Mo
0.2500 0.2500 0.2500 V
```

electronic total energy: -0.3132 Ha/atom
crystal system: cubic

---

[2]
# Nb2SbMoW

Crystalline Nb2SbMoW at its relaxed geometry (PBE, Alexandria via LeMat-Bulk).

POSCAR file:
```
Nb2SbMoW
1.0
4.8395 0.0000 0.0000
0.0000 5.0019 0.0000
0.0000 0.0000 4.8395
Mo Nb W Sb
1 2 1 1
direct
0.5000 0.5000 0.5000 Mo
0.5000 0.0000 0.0000 Nb
0.0000 0.0000 0.5000 Nb
0.0000 0.0000 0.0000 W
0.0000 0.5000 0.0000 Sb
```

electronic total energy: -0.2881 Ha/atom
crystal system: tetragonal

---

[3]
# NbZnSb2Mo

Crystalline NbZnSb2Mo at its relaxed geometry (PBE, Alexandria via LeMat-Bulk).

POSCAR file:
```
NbZnSb2Mo
1.0
-0.4203 4.3147 3.0642
-4.6875 0.7044 -1.6347
-1.8372 -3.0017 3.9746
Mo Sb Nb Zn
1 2 1 1
direct
0.5000 0.5000 0.5000 Mo
0.5000 0.0000 0.0000 Sb
0.0000 0.0000 0.5000 Sb
0.0000 0.0000 0.0000 Nb
0.0000 0.5000 0.0000 Zn
```

electronic total energy: -0.1821 Ha/atom
crystal system: tetragonal

---

[4]
# ScNbMo2

Crystalline ScNbMo2 at its relaxed geometry (PBE, Alexandria via LeMat-Bulk).

POSCAR file:
```
ScNbMo2
1.0
7.2848 0.0000 0.0000
0.0000 7.2848 0.0000
3.6424 3.6424 2.8107
Sc Mo Nb
2 4 2
direct
0.5000 0.5000 0.0000 Sc
0.2500 0.7500 0.5000 Sc
0.8750 0.8923 0.7500 Mo
0.3750 0.3577 0.7500 Mo
0.1077 0.6250 0.2500 Mo
0.6423 0.1250 0.2500 Mo
0.0000 0.0000 0.0000 Nb
0.7500 0.2500 0.5000 Nb
```

electronic total energy: -0.3255 Ha/atom
crystal system: tetragonal
energy of formation from the pure elements: 0.66 eV/atom

---

[5]
# ScNbMo2

Crystalline ScNbMo2 at its relaxed geometry (PBE, Alexandria via LeMat-Bulk).

POSCAR file:
```
ScNbMo2
1.0
3.2350 0.0000 0.0000
0.0000 3.2350 0.0000
0.0000 0.0000 6.7862
Mo Nb Sc
2 1 1
direct
0.0000 0.0000 0.7729 Mo
0.0000 0.0000 0.2271 Mo
0.5000 0.5000 0.0000 Nb
0.5000 0.5000 0.5000 Sc
```

electronic total energy: -0.3462 Ha/atom
crystal system: tetragonal
energy of formation from the pure elements: 0.09 eV/atom

---

[6]
# Sc2Nb2Mo

Crystalline Sc2Nb2Mo at its relaxed geometry (PBE, Alexandria via LeMat-Bulk).

POSCAR file:
```
Sc2Nb2Mo
1.0
-3.7212 4.4278 -3.0705
-4.5775 -4.5663 -1.0373
-2.1186 1.1604 4.2410
Mo Nb Sc
2 4 4
direct
0.5000 0.5000 0.0000 Mo
0.0000 0.0000 0.0000 Mo
0.1439 0.3561 0.0000 Nb
0.8561 0.6439 0.0000 Nb
0.3561 0.8561 0.0000 Nb
0.6439 0.1439 0.0000 Nb
0.1703 0.6703 0.5000 Sc
0.8297 0.3297 0.5000 Sc
0.6703 0.8297 0.5000 Sc
0.3297 0.1703 0.5000 Sc
```

electronic total energy: -0.3127 Ha/atom
crystal system: tetragonal
energy of formation from the pure elements: 0.22 eV/atom

---

[7]
# ScNb2Mo

Crystalline ScNb2Mo at its relaxed geometry (PBE, Alexandria via LeMat-Bulk).

POSCAR file:
```
ScNb2Mo
1.0
4.6801 0.0000 0.0000
2.3400 4.0531 0.0000
2.3400 1.3510 3.8213
Mo Nb Sc
1 2 1
direct
0.0000 0.0000 0.0000 Mo
0.2500 0.2500 0.2500 Nb
0.7500 0.7500 0.7500 Nb
0.5000 0.5000 0.5000 Sc
```

electronic total energy: -0.3388 Ha/atom
crystal system: cubic
energy of formation from the pure elements: 0.11 eV/atom

---

[8]
# ScNbMo3

Crystalline ScNbMo3 at its relaxed geometry (PBE, Alexandria via LeMat-Bulk).

POSCAR file:
```
ScNbMo3
1.0
4.7785 0.0000 0.0000
0.0000 4.7785 0.0000
0.0000 0.0000 4.7785
Mo Sc Nb
3 1 1
direct
0.0000 0.0000 0.5000 Mo
0.0000 0.5000 0.0000 Mo
0.5000 0.0000 0.0000 Mo
0.5000 0.5000 0.5000 Sc
0.0000 0.0000 0.0000 Nb
```

electronic total energy: -0.3077 Ha/atom
crystal system: cubic
energy of formation from the pure elements: 1.41 eV/atom

---

[9]
# ScNb2Mo

Crystalline ScNb2Mo at its relaxed geometry (PBE, Alexandria via LeMat-Bulk).

POSCAR file:
```
ScNb2Mo
1.0
-1.2399 -1.8962 -7.0472
6.8090 -2.8727 -0.4250
1.7695 -4.9176 -2.8759
Sc Nb Mo
2 4 2
direct
0.5000 0.5000 0.0000 Sc
0.2500 0.7500 0.5000 Sc
0.8750 0.9034 0.7500 Nb
0.0966 0.6250 0.2500 Nb
0.6534 0.1250 0.2500 Nb
0.3750 0.3466 0.7500 Nb
0.0000 0.0000 0.0000 Mo
0.7500 0.2500 0.5000 Mo
```

electronic total energy: -0.3227 Ha/atom
crystal system: tetragonal
energy of formation from the pure elements: 0.54 eV/atom

---

[10]
# ScNb2Mo

Crystalline ScNb2Mo at its relaxed geometry (PBE, Alexandria via LeMat-Bulk).

POSCAR file:
```
ScNb2Mo
1.0
3.2728 0.0000 0.0000
0.0000 4.7063 0.0000
0.0000 0.0000 4.7063
Nb Sc Mo
2 1 1
direct
0.0000 0.0000 0.5000 Nb
0.0000 0.5000 0.0000 Nb
0.5000 0.0000 0.0000 Sc
0.5000 0.5000 0.5000 Mo
```

electronic total energy: -0.3379 Ha/atom
crystal system: tetragonal
energy of formation from the pure elements: 0.13 eV/atom

---

[11]
# ScNbMo14

Crystalline ScNbMo14 at its relaxed geometry (PBE, Alexandria via LeMat-Bulk).

POSCAR file:
```
ScNbMo14
1.0
5.5136 0.1625 0.0000
-2.0114 5.1362 0.0000
0.0000 0.0000 9.0114
Mo Nb Sc
14 1 1
direct
0.3742 0.6258 0.7512 Mo
0.3742 0.6258 0.2488 Mo
0.6250 0.8750 0.5000 Mo
0.8758 0.1242 0.2488 Mo
0.1250 0.8750 0.0000 Mo
0.1250 0.3750 0.5000 Mo
0.8758 0.1242 0.7512 Mo
0.1250 0.3750 0.0000 Mo
0.8736 0.6236 0.7575 Mo
0.3764 0.1264 0.7575 Mo
0.6250 0.3750 0.0000 Mo
0.6250 0.8750 0.0000 Mo
0.8736 0.6236 0.2425 Mo
0.3764 0.1264 0.2425 Mo
0.6250 0.3750 0.5000 Nb
0.1250 0.8750 0.5000 Sc
```

electronic total energy: -0.3872 Ha/atom
crystal system: orthorhombic
energy of formation from the pure elements: -0.03 eV/atom

---

[12]
# ScNbMo4

Crystalline ScNbMo4 at its relaxed geometry (PBE, Alexandria via LeMat-Bulk).

POSCAR file:
```
ScNbMo4
1.0
5.3150 0.0000 0.0000
2.6575 4.6029 0.0000
2.6575 1.5343 4.3397
Mo Nb Sc
4 1 1
direct
0.6251 0.6251 0.1247 Mo
0.6251 0.6251 0.6251 Mo
0.1247 0.6251 0.6251 Mo
0.6251 0.1247 0.6251 Mo
0.0000 0.0000 0.0000 Nb
0.2500 0.2500 0.2500 Sc
```

electronic total energy: -0.3667 Ha/atom
crystal system: cubic
energy of formation from the pure elements: -0.03 eV/atom

---

[13]
# Sc3NbMo

Crystalline Sc3NbMo at its relaxed geometry (PBE, Alexandria via LeMat-Bulk).

POSCAR file:
```
Sc3NbMo
1.0
-1.6665 4.4536 1.1834
-4.2451 -0.9941 -2.2367
-1.7928 -1.7859 4.1963
Sc Mo Nb
3 1 1
direct
0.5000 0.0000 0.0000 Sc
0.0000 0.5000 0.0000 Sc
0.0000 0.0000 0.5000 Sc
0.0000 0.0000 0.0000 Mo
0.5000 0.5000 0.5000 Nb
```

electronic total energy: -0.2615 Ha/atom
crystal system: cubic
energy of formation from the pure elements: 0.86 eV/atom

---

[14]
# ScNbMo2

Crystalline ScNbMo2 at its relaxed geometry (PBE, Alexandria via LeMat-Bulk).

POSCAR file:
```
ScNbMo2
1.0
0.0000 3.2645 3.2645
3.2645 0.0000 3.2645
3.2645 3.2645 0.0000
Sc Mo Nb
1 2 1
direct
0.0000 0.0000 0.0000 Sc
0.7500 0.7500 0.7500 Mo
0.2500 0.2500 0.2500 Mo
0.5000 0.5000 0.5000 Nb
```

electronic total energy: -0.3455 Ha/atom
crystal system: cubic
energy of formation from the pure elements: 0.11 eV/atom

---

[15]
# ScNb2Mo

Crystalline ScNb2Mo at its relaxed geometry (PBE, Alexandria via LeMat-Bulk).

POSCAR file:
```
ScNb2Mo
1.0
3.2587 0.0000 0.0000
0.0000 3.2587 0.0000
0.0000 0.0000 7.0560
Nb Mo Sc
2 1 1
direct
0.0000 0.0000 0.7831 Nb
0.0000 0.0000 0.2169 Nb
0.5000 0.5000 0.0000 Mo
0.5000 0.5000 0.5000 Sc
```

electronic total energy: -0.3407 Ha/atom
crystal system: tetragonal
energy of formation from the pure elements: 0.06 eV/atom

---

[16]
# ScNbMo

Crystalline ScNbMo at its relaxed geometry (PBE, Alexandria via LeMat-Bulk).

POSCAR file:
```
ScNbMo
1.0
3.3292 0.0000 0.0000
0.0000 3.3292 0.0000
-1.6646 -1.6646 5.1247
Mo Sc Nb
1 1 1
direct
0.6835 0.6835 0.3670 Mo
0.0064 0.0064 0.0128 Sc
0.3101 0.3101 0.6202 Nb
```

electronic total energy: -0.3323 Ha/atom
crystal system: tetragonal
energy of formation from the pure elements: 0.03 eV/atom

---

[17]
# ScNbMo2

Crystalline ScNbMo2 at its relaxed geometry (PBE, Alexandria via LeMat-Bulk).

POSCAR file:
```
ScNbMo2
1.0
3.2378 0.0000 0.0000
0.0000 4.6352 0.0000
0.0000 0.0000 4.6352
Nb Mo Sc
1 2 1
direct
0.5000 0.0000 0.0000 Nb
0.0000 0.0000 0.5000 Mo
0.0000 0.5000 0.0000 Mo
0.5000 0.5000 0.5000 Sc
```

electronic total energy: -0.3448 Ha/atom
crystal system: tetragonal
energy of formation from the pure elements: 0.13 eV/atom

---

[18]
# ScTiNbMo2

Crystalline ScTiNbMo2 at its relaxed geometry (PBE, Alexandria via LeMat-Bulk).

POSCAR file:
```
ScTiNbMo2
1.0
4.5800 0.0000 0.0000
0.0000 4.6790 0.0000
0.0000 0.0000 4.5800
Mo Sc Nb Ti
2 1 1 1
direct
0.0000 0.0000 0.5000 Mo
0.5000 0.0000 0.0000 Mo
0.0000 0.5000 0.0000 Sc
0.5000 0.5000 0.5000 Nb
0.0000 0.0000 0.0000 Ti
```

electronic total energy: -0.2932 Ha/atom
crystal system: tetragonal
energy of formation from the pure elements: 1.21 eV/atom

---

[19]
# Y2ScNbMo

Crystalline Y2ScNbMo at its relaxed geometry (PBE, Alexandria via LeMat-Bulk).

POSCAR file:
```
Y2ScNbMo
1.0
-4.3013 1.1503 -3.1870
-2.9132 -1.4568 3.4059
-0.1539 5.0787 2.0407
Y Sc Nb Mo
2 1 1 1
direct
0.5000 0.0000 0.0000 Y
0.0000 0.0000 0.5000 Y
0.5000 0.5000 0.5000 Sc
0.0000 0.0000 0.0000 Nb
0.0000 0.5000 0.0000 Mo
```

electronic total energy: -0.2635 Ha/atom
crystal system: tetragonal
energy of formation from the pure elements: 0.86 eV/atom

---

[20]
# ScNbZnMo

Crystalline ScNbZnMo at its relaxed geometry (PBE, Alexandria via LeMat-Bulk).

POSCAR file:
```
ScNbZnMo
1.0
4.6189 0.0000 0.0000
2.3094 4.0001 0.0000
2.3094 1.3334 3.7713
Nb Sc Mo Zn
1 1 1 1
direct
0.7500 0.7500 0.7500 Nb
0.2500 0.2500 0.2500 Sc
0.5000 0.5000 0.5000 Mo
0.0000 0.0000 0.0000 Zn
```

electronic total energy: -0.2631 Ha/atom
crystal system: cubic
energy of formation from the pure elements: -0.03 eV/atom

---

[21]
# NbMo2Se

Crystalline NbMo2Se at its relaxed geometry (PBE, Alexandria via LeMat-Bulk).

POSCAR file:
```
NbMo2Se
1.0
-0.5799 -3.4131 1.4053
0.4396 -1.4762 -3.4041
9.7708 -3.4196 0.6941
Se Nb Mo
2 2 4
direct
0.2500 0.7500 0.5000 Se
0.5000 0.5000 0.0000 Se
0.0000 0.0000 0.0000 Nb
0.7500 0.2500 0.5000 Nb
0.6144 0.1250 0.2500 Mo
0.1356 0.6250 0.2500 Mo
0.8750 0.8644 0.7500 Mo
0.3750 0.3856 0.7500 Mo
```

electronic total energy: -0.3073 Ha/atom
crystal system: tetragonal

---

[22]
# NbMoSe6

Crystalline NbMoSe6 at its relaxed geometry (PBE, Alexandria via LeMat-Bulk).

POSCAR file:
```
NbMoSe6
1.0
6.4077 0.2153 0.4363
3.3871 5.5666 0.3999
3.6163 2.0798 5.9214
Se Mo Nb
6 1 1
direct
0.9476 0.5599 0.2459 Se
0.3529 0.8597 0.1413 Se
0.6471 0.1403 0.8587 Se
0.6434 0.1438 0.3509 Se
0.3566 0.8562 0.6491 Se
0.0524 0.4401 0.7541 Se
0.0000 0.0000 0.0000 Mo
0.5000 0.5000 0.5000 Nb
```

electronic total energy: -0.2022 Ha/atom
crystal system: triclinic

---

[23]
# NbMoSe4

Crystalline NbMoSe4 at its relaxed geometry (PBE, Alexandria via LeMat-Bulk).

POSCAR file:
```
NbMoSe4
1.0
-3.1481 1.2242 0.4158
0.8057 -1.6942 -2.8395
-3.7988 -11.7932 5.9587
Se Nb Mo
4 1 1
direct
0.3333 0.6667 0.6196 Se
0.0000 0.0000 0.1245 Se
0.0000 0.0000 0.8755 Se
0.3333 0.6667 0.3804 Se
0.6667 0.3333 0.0000 Nb
0.6667 0.3333 0.5000 Mo
```

electronic total energy: -0.2412 Ha/atom
crystal system: hexagonal

---

[24]
# NbMoSe4

Crystalline NbMoSe4 at its relaxed geometry (PBE, Alexandria via LeMat-Bulk).

POSCAR file:
```
NbMoSe4
1.0
-2.6633 -2.2042 5.4684
0.5368 -4.4276 -4.7617
7.6688 3.2776 2.2249
Se Nb Mo
8 2 2
direct
0.7577 0.0557 0.3719 Se
0.2423 0.9443 0.6281 Se
0.7290 0.4032 0.5994 Se
0.5531 0.3683 0.1292 Se
0.9185 0.1147 0.8329 Se
0.0815 0.8853 0.1671 Se
0.4469 0.6317 0.8708 Se
0.2710 0.5968 0.4006 Se
0.1841 0.8338 0.8930 Nb
0.8159 0.1662 0.1070 Nb
0.2722 0.6152 0.1074 Mo
0.7278 0.3848 0.8926 Mo
```

electronic total energy: -0.2331 Ha/atom
crystal system: triclinic

---

[25]
# NbMo2Se4

Crystalline NbMo2Se4 at its relaxed geometry (PBE, Alexandria via LeMat-Bulk).

POSCAR file:
```
NbMo2Se4
1.0
-2.6154 -1.8293 0.8012
4.9983 -5.1454 -2.1884
0.3263 2.1586 5.9869
Se Mo Nb
4 2 1
direct
0.6422 0.2841 0.3135 Se
0.1074 0.2146 0.7652 Se
0.3578 0.7159 0.6865 Se
0.8926 0.7854 0.2348 Se
0.7459 0.4913 0.8085 Mo
0.2541 0.5087 0.1915 Mo
0.0000 0.0000 0.0000 Nb
```

electronic total energy: -0.2583 Ha/atom
crystal system: monoclinic

---

[26]
# NbMoSe4

Crystalline NbMoSe4 at its relaxed geometry (PBE, Alexandria via LeMat-Bulk).

POSCAR file:
```
NbMoSe4
1.0
-2.4439 2.2900 -0.5134
-2.9607 -6.1892 -2.2812
-1.5630 -0.4044 5.6356
Se Nb Mo
4 1 1
direct
0.6242 0.2468 0.8709 Se
0.3763 0.7532 0.1291 Se
0.8781 0.7579 0.6212 Se
0.1213 0.2420 0.3788 Se
0.0002 0.0000 0.0000 Nb
0.4997 0.0000 0.5000 Mo
```

electronic total energy: -0.2370 Ha/atom
crystal system: triclinic